# 1
Entry from the Alexandria database: a geometry-optimized K3AgBi structure (PBE-GGA).

Summary:
Energy above the lowest structure with this stoichiometry ... 0.059 eV/atom
DFT formation energy ... -0.14 eV/atom

Unit cell a=13.0190 b=8.2987 c=7.9125 alpha=90.00 beta=90.00 gamma=90.00
Space group Ima2 (No. 46)
Inequivalent atoms, fractional coordinates:
K 0.0029 0.2486 0.0000 (multiplicity 8)
K 0.2500 0.0692 0.2545 (multiplicity 4)
Ag 0.2500 0.7500 0.0052 (multiplicity 4)
Bi 0.2500 0.5065 0.2549 (multiplicity 4)

# 2
Entry from the Alexandria database: a geometry-optimized Rb2AgBr6O structure (PBE-GGA).

Summary:
Energy relative to the elements, uncorrected ... -591.3 meV per atom

Unit cell a=7.1940 b=7.1940 c=11.6750 alpha=90.00 beta=90.00 gamma=90.00
Space group I4/mmm (No. 139)
Inequivalent atoms, fractional coordinates:
Rb 0.0000 0.5000 0.2500 (multiplicity 4)
Ag 0.0000 0.0000 0.0000 (multiplicity 2)
Br 0.0000 0.0000 0.2170 (multiplicity 4)
Br 0.2268 0.2268 0.5000 (multiplicity 8)
O 0.0000 0.0000 0.5000 (multiplicity 2)

# 3
Entry from the Alexandria database: a geometry-optimized LiNpTeO6 structure (PBE-GGA).

Summary:
Energy relative to the elements, uncorrected ... -1834.1 meV per atom

Unit cell a=5.6484 b=5.6484 c=9.3673 alpha=90.00 beta=90.00 gamma=120.00
Space group P-31c (No. 163)
Inequivalent atoms, fractional coordinates:
Li 0.0000 0.0000 0.0000 (multiplicity 2)
Np 0.3333 0.6667 0.2500 (multiplicity 2)
Te 0.3333 0.6667 0.7500 (multiplicity 2)
O 0.0140 0.3665 0.1370 (multiplicity 12)

# 4
Entry from the Alexandria database: a geometry-optimized TmPAu structure (PBE-GGA).

Summary:
DFT formation energy ... -0.86 eV/atom

Unit cell a=3.8212 b=5.1249 c=6.9540 alpha=78.44 beta=87.55 gamma=68.46
Space group P-1 (No. 2)
Inequivalent atoms, fractional coordinates:
Tm 0.0826 0.2995 0.2845 (multiplicity 2)
P 0.4736 0.7113 0.4108 (multiplicity 2)
Au 0.3526 0.7716 0.0458 (multiplicity 2)

# 5
Entry from the Alexandria database: a geometry-optimized Sc4AlTc structure (PBE-GGA).

Summary:
Energy above the lowest structure with this stoichiometry ... 0.244 eV/atom
DFT formation energy ... 0.01 eV/atom

Unit cell a=6.4652 b=6.4653 c=6.7099 alpha=90.00 beta=90.06 gamma=90.00
Space group C2/m (No. 12)
Inequivalent atoms, fractional coordinates:
Sc 0.2498 0.2499 0.2306 (multiplicity 8)
Al 0.0000 0.0000 0.5000 (multiplicity 2)
Tc 0.0000 0.5000 0.0000 (multiplicity 2)

# 6
Entry from the Alexandria database: a geometry-optimized NaB2Sb2 structure (PBE-GGA).

Summary:
Energy relative to the elements, uncorrected ... 636.8 meV per atom
Energy above the lowest structure with this stoichiometry ... 0.000 eV/atom

Unit cell a=3.9431 b=3.9431 c=14.5763 alpha=90.00 beta=90.00 gamma=90.00
Space group I4/mmm (No. 139)
Inequivalent atoms, fractional coordinates:
Na 0.0000 0.0000 0.0000 (multiplicity 2)
B 0.0000 0.5000 0.2500 (multiplicity 4)
Sb 0.0000 0.0000 0.3424 (multiplicity 4)

# 7
Entry from the Alexandria database: a geometry-optimized Y2SeBr structure (PBE-GGA).

Summary:
Energy relative to the elements, uncorrected ... -1162.3 meV per atom
Energy above the lowest structure with this stoichiometry ... 0.183 eV/atom

Unit cell a=3.9734 b=3.9734 c=29.5812 alpha=90.00 beta=90.00 gamma=120.00
Space group R3m (No. 160, hexagonal axes)
Inequivalent atoms, fractional coordinates:
Y 0.0000 0.0000 0.0000 (multiplicity 3)
Y 0.0000 0.0000 0.2298 (multiplicity 3)
Se 0.0000 0.0000 0.5125 (multiplicity 3)
Br 0.0000 0.0000 0.7280 (multiplicity 3)

# 8
Entry from the Alexandria database: a geometry-optimized V3Cr5 structure (PBE-GGA).

Summary:
Energy above the lowest structure with this stoichiometry ... 0.000 eV/atom
DFT formation energy ... -0.09 eV/atom

Unit cell a=2.8935 b=2.8935 c=11.6208 alpha=90.00 beta=90.00 gamma=90.00
Space group P4/mmm (No. 123)
Inequivalent atoms, fractional coordinates:
V 0.0000 0.0000 0.0000 (multiplicity 1)
V 0.5000 0.5000 0.3751 (multiplicity 2)
Cr 0.0000 0.0000 0.2461 (multiplicity 2)
Cr 0.0000 0.0000 0.5000 (multiplicity 1)
Cr 0.5000 0.5000 0.1274 (multiplicity 2)

no.,spin magnetization (μB/f.u.),density (Mg/m³)
1,0.8,3.4
2,0.0,4.3
3,0.0,6.0
4,0.0,10.6
5,0.0,3.6
6,0.0,4.2
7,1.0,4.1
8,0.0,7.0